(1)
# TbPrEr6

An optimized crystal structure of TbPrEr6 (PBE-GGA, Alexandria).

```
TbPrEr6
1.0
4.7890 2.7649 3.2631
-4.7890 2.7649 3.2631
0.0000 -5.5298 3.2631
Tb Pr Er
1 1 6
direct
0.0000 0.0000 0.0000
0.5000 0.5000 0.5000
0.0454 0.7518 0.4540
0.2482 0.5460 0.9546
0.4540 0.0454 0.7518
0.5460 0.9546 0.2482
0.7518 0.4540 0.0454
0.9546 0.2482 0.5460
```

energy above the most stable polymorph in this dataset = 0 meV per atom

=====

(2)
# Ce5Cu

An optimized crystal structure of Ce5Cu (PBE-GGA, Alexandria).

```
Ce5Cu
1.0
5.5069 0.0000 0.0000
0.0000 16.1931 0.0000
0.0000 0.0000 3.2729
Ce Cu
10 2
direct
0.0000 0.0000 0.0000
0.0000 0.1705 0.5000
0.0000 0.3492 0.0000
0.0000 0.6508 0.0000
0.0000 0.8295 0.5000
0.5000 0.1508 0.0000
0.5000 0.3295 0.5000
0.5000 0.5000 0.0000
0.5000 0.6705 0.5000
0.5000 0.8492 0.0000
0.0000 0.5000 0.5000
0.5000 0.0000 0.5000
```

=====

(3)
# BaMgSb2

An optimized crystal structure of BaMgSb2 (PBE-GGA, Alexandria).

```
BaMgSb2
1.0
5.7966 0.0000 0.0000
0.0000 5.8135 0.0000
0.0000 0.0000 7.3168
Ba Mg Sb
2 2 4
direct
0.0000 0.0000 0.0000
0.5000 0.5000 0.0000
0.0000 0.0000 0.5000
0.5000 0.5000 0.5000
0.0000 0.5000 0.3004
0.0000 0.5000 0.6996
0.5000 0.0000 0.3004
0.5000 0.0000 0.6996
```

formation energy (no corrections) = -0.47 eV/atom

=====

(4)
# MnCu2W

An optimized crystal structure of MnCu2W (PBE-GGA, Alexandria).

```
MnCu2W
1.0
2.6967 0.0000 0.0000
-1.3483 2.3354 0.0000
0.0000 0.0000 26.1889
Mn Cu W
3 6 3
direct
0.0000 0.0000 0.0000
0.3333 0.6667 0.6667
0.6667 0.3333 0.3333
0.0000 0.0000 0.2531
0.0000 0.0000 0.7469
0.3333 0.6667 0.4136
0.3333 0.6667 0.9197
0.6667 0.3333 0.0803
0.6667 0.3333 0.5864
0.0000 0.0000 0.5000
0.3333 0.6667 0.1667
0.6667 0.3333 0.8333
```

energy above the most stable polymorph in this dataset = 138 meV per atom

=====

(5)
# K2PrPdO4

An optimized crystal structure of K2PrPdO4 (PBE-GGA, Alexandria).

```
K2PrPdO4
1.0
0.0000 7.0512 12.8780
3.1664 0.0000 12.8780
3.1664 7.0512 0.0000
K Pr Pd O
4 2 2 8
direct
0.0810 0.0810 0.6690
0.3310 0.3310 0.9190
0.6690 0.6690 0.0810
0.9190 0.9190 0.3310
0.1250 0.1250 0.1250
0.8750 0.8750 0.8750
0.3750 0.3750 0.3750
0.6250 0.6250 0.6250
0.0389 0.6921 0.5091
0.2598 0.5091 0.6921
0.3079 0.9611 0.7402
0.4909 0.7402 0.9611
0.5091 0.2598 0.0389
0.6921 0.0389 0.2598
0.7402 0.4909 0.3079
0.9611 0.3079 0.4909
```

formation energy (no corrections) = -1.28 eV/atom

=====

(6)
# KCa2La

An optimized crystal structure of KCa2La (PBE-GGA, Alexandria).

```
KCa2La
1.0
3.9516 0.0000 0.0000
0.0000 6.7469 0.0000
0.0000 0.0000 13.2480
K Ca La
2 4 2
direct
0.0000 0.0000 0.0000
0.5000 0.5000 0.5000
0.0000 0.5000 0.2449
0.0000 0.5000 0.7551
0.5000 0.0000 0.2551
0.5000 0.0000 0.7449
0.0000 0.0000 0.5000
0.5000 0.5000 0.0000
```

energy above the most stable polymorph in this dataset = 172 meV per atom

=====

(7)
# CePdRh

An optimized crystal structure of CePdRh (PBE-GGA, Alexandria).

```
CePdRh
1.0
3.5537 0.0000 0.0000
0.0000 3.5537 0.0000
0.0000 0.0000 9.1039
Ce Pd Rh
2 2 2
direct
0.0000 0.0000 0.0000
0.5000 0.5000 0.5000
0.0000 0.0000 0.6793
0.5000 0.5000 0.1793
0.0000 0.0000 0.3529
0.5000 0.5000 0.8529
```

energy above the most stable polymorph in this dataset = 144 meV per atom

=====

(8)
# Zn3Ag

An optimized crystal structure of Zn3Ag (PBE-GGA, Alexandria).

```
Zn3Ag
1.0
4.7947 0.0000 0.0000
0.0000 8.8919 0.0000
0.0000 0.0000 5.8580
Zn Ag
12 4
direct
0.0941 0.2500 0.1281
0.2391 0.0000 0.8723
0.2391 0.5000 0.8723
0.2609 0.0000 0.3723
0.2609 0.5000 0.3723
0.4059 0.7500 0.6281
0.5941 0.2500 0.3719
0.7391 0.0000 0.6277
0.7391 0.5000 0.6277
0.7609 0.0000 0.1277
0.7609 0.5000 0.1277
0.9059 0.7500 0.8719
0.0948 0.2500 0.6135
0.4052 0.7500 0.1135
0.5948 0.2500 0.8865
0.9052 0.7500 0.3865
```

=====

(9)
# Tb2HgPb5

An optimized crystal structure of Tb2HgPb5 (PBE-GGA, Alexandria).

```
Tb2HgPb5
1.0
6.8163 0.0000 0.0000
0.0000 13.6212 0.0000
0.0000 0.0000 4.8538
Tb Hg Pb
4 2 10
direct
0.2460 0.1254 0.0000
0.2540 0.6254 0.0000
0.7460 0.3746 0.0000
0.7540 0.8746 0.0000
0.0000 0.5000 0.5000
0.5000 0.0000 0.5000
0.0000 0.0000 0.5000
0.0072 0.7484 0.5000
0.2414 0.3778 0.0000
0.2586 0.8778 0.0000
0.4928 0.2484 0.5000
0.5000 0.5000 0.5000
0.5072 0.7516 0.5000
0.7414 0.1222 0.0000
0.7586 0.6222 0.0000
0.9928 0.2516 0.5000
```

=====

(10)
# K2AsPt

An optimized crystal structure of K2AsPt (PBE-GGA, Alexandria).

```
K2AsPt
1.0
3.1971 0.0000 0.0000
-1.5985 2.7687 0.0000
0.0000 0.0000 32.1909
K As Pt
6 3 3
direct
0.0000 0.0000 0.2479
0.0000 0.0000 0.7521
0.3333 0.6667 0.4187
0.3333 0.6667 0.9146
0.6667 0.3333 0.0854
0.6667 0.3333 0.5813
0.0000 0.0000 0.0000
0.3333 0.6667 0.6667
0.6667 0.3333 0.3333
0.0000 0.0000 0.5000
0.3333 0.6667 0.1667
0.6667 0.3333 0.8333
```

=====

(11)
# CaV3In

An optimized crystal structure of CaV3In (PBE-GGA, Alexandria).

```
CaV3In
1.0
5.1641 0.0000 0.0000
0.0000 5.1641 0.0000
0.0000 0.0000 5.1641
Ca V In
1 3 1
direct
0.0000 0.0000 0.0000
0.0000 0.5000 0.5000
0.5000 0.0000 0.5000
0.5000 0.5000 0.0000
0.5000 0.5000 0.5000
```

energy above the most stable polymorph in this dataset = 0 meV per atom

=====

(12)
# TiCrNi2

An optimized crystal structure of TiCrNi2 (PBE-GGA, Alexandria).

```
TiCrNi2
1.0
5.9153 0.0000 0.0000
0.0000 5.9153 0.0000
0.0000 0.0000 5.9153
Ti Cr Ni
4 4 8
direct
0.0000 0.0000 0.0000
0.0000 0.5000 0.5000
0.5000 0.0000 0.5000
0.5000 0.5000 0.0000
0.0000 0.0000 0.5000
0.0000 0.5000 0.0000
0.5000 0.0000 0.0000
0.5000 0.5000 0.5000
0.2500 0.2500 0.2500
0.2500 0.2500 0.7500
0.2500 0.7500 0.2500
0.2500 0.7500 0.7500
0.7500 0.2500 0.2500
0.7500 0.2500 0.7500
0.7500 0.7500 0.2500
0.7500 0.7500 0.7500
```

=====

(13)
# Nd2Cu15Ag2

An optimized crystal structure of Nd2Cu15Ag2 (PBE-GGA, Alexandria).

```
Nd2Cu15Ag2
1.0
4.3775 2.5274 4.2531
-4.3775 2.5274 4.2531
0.0000 -5.0547 4.2531
Nd Cu Ag
2 15 2
direct
0.1532 0.1532 0.1532
0.8468 0.8468 0.8468
0.0000 0.5000 0.5000
0.1533 0.1533 0.6591
0.1533 0.6591 0.1533
0.2011 0.5000 0.7989
0.2011 0.7989 0.5000
0.3409 0.8467 0.8467
0.5000 0.0000 0.5000
0.5000 0.2011 0.7989
0.5000 0.5000 0.0000
0.5000 0.7989 0.2011
0.6591 0.1533 0.1533
0.7989 0.2011 0.5000
0.7989 0.5000 0.2011
0.8467 0.3409 0.8467
0.8467 0.8467 0.3409
0.3961 0.3961 0.3961
0.6039 0.6039 0.6039
```

=====

(14)
# DyCuPb

An optimized crystal structure of DyCuPb (PBE-GGA, Alexandria).

```
DyCuPb
1.0
4.6443 0.0000 0.0000
-2.3222 4.0221 0.0000
0.0000 0.0000 3.6516
Dy Cu Pb
1 1 1
direct
0.0000 0.0000 0.0000
0.3333 0.6667 0.5000
0.6667 0.3333 0.5000
```

=====

(15)
# LaPr8Er5

An optimized crystal structure of LaPr8Er5 (PBE-GGA, Alexandria).

```
LaPr8Er5
1.0
-4.8361 4.8361 5.2642
4.8361 -4.8361 5.2642
4.8361 4.8361 -5.2642
La Pr Er
1 8 5
direct
0.0000 0.0000 0.0000
0.0883 0.3204 0.4097
0.1780 0.4228 0.8960
0.3214 0.9117 0.2321
0.5269 0.2820 0.1040
0.5772 0.4731 0.7552
0.6796 0.0893 0.7679
0.7180 0.8220 0.2448
0.9107 0.6786 0.5903
0.2111 0.0247 0.5919
0.3808 0.7889 0.8136
0.4328 0.6192 0.4081
0.7500 0.2500 0.5000
0.9753 0.5672 0.1864
```

=====

(16)
# Pu2BiSb3

An optimized crystal structure of Pu2BiSb3 (PBE-GGA, Alexandria).

```
Pu2BiSb3
1.0
4.5002 0.0000 0.0000
0.0000 6.3053 0.0000
0.0000 0.0000 13.4171
Pu Bi Sb
4 2 6
direct
0.0000 0.0000 0.1636
0.0000 0.0000 0.8364
0.5000 0.5000 0.3364
0.5000 0.5000 0.6636
0.0000 0.0000 0.5000
0.5000 0.5000 0.0000
0.0000 0.5000 0.1741
0.0000 0.5000 0.5000
0.0000 0.5000 0.8259
0.5000 0.0000 0.0000
0.5000 0.0000 0.3259
0.5000 0.0000 0.6741
```

formation energy (no corrections) = -0.32 eV/atom

=====

(17)
# CaTaBiO5

An optimized crystal structure of CaTaBiO5 (PBE-GGA, Alexandria).

```
CaTaBiO5
1.0
5.8648 0.0000 0.0000
0.0000 11.6592 0.0000
-2.9036 0.0000 8.3650
Ca Ta Bi O
4 4 4 20
direct
0.0397 0.0949 0.1712
0.0397 0.4051 0.6712
0.9603 0.5949 0.3288
0.9603 0.9051 0.8288
0.3676 0.6237 0.0461
0.3676 0.8763 0.5461
0.6324 0.1237 0.4539
0.6324 0.3763 0.9539
0.4594 0.0936 0.8454
0.4594 0.4064 0.3454
0.5406 0.5936 0.6546
0.5406 0.9064 0.1546
0.1926 0.7416 0.4837
0.1926 0.7584 0.9837
0.2271 0.5490 0.1867
0.2271 0.9510 0.6867
0.2658 0.0265 0.0101
0.2658 0.4735 0.5101
0.3391 0.1958 0.3494
0.3391 0.3042 0.8494
0.3507 0.5425 0.8542
0.3507 0.9575 0.3542
0.6493 0.0425 0.6458
0.6493 0.4575 0.1458
0.6609 0.6958 0.1506
0.6609 0.8042 0.6506
0.7342 0.5265 0.4899
0.7342 0.9735 0.9899
0.7729 0.0490 0.3133
0.7729 0.4510 0.8133
0.8074 0.2416 0.0163
0.8074 0.2584 0.5163
```

energy above the most stable polymorph in this dataset = 21 meV per atom
formation energy (no corrections) = -2.45 eV/atom

=====

(18)
# RbAcMgTe3

An optimized crystal structure of RbAcMgTe3 (PBE-GGA, Alexandria).

```
RbAcMgTe3
1.0
10.2975 0.0000 0.0000
0.0000 4.7788 0.0000
-2.9169 0.0000 10.6631
Rb Ac Mg Te
2 2 2 6
direct
0.1976 0.2500 0.2253
0.8024 0.7500 0.7747
0.3305 0.7500 0.8551
0.6695 0.2500 0.1449
0.0820 0.2500 0.6029
0.9180 0.7500 0.3971
0.1041 0.2500 0.8582
0.1970 0.7500 0.5291
0.4524 0.7500 0.1636
0.5476 0.2500 0.8364
0.8030 0.2500 0.4709
0.8959 0.7500 0.1418
```

formation energy (no corrections) = -1.27 eV/atom

=====

no.,uncorrected energy (eV per atom)
1,-4.4471
2,-5.5806
3,-3.4124
4,-7.2236
5,-5.2792
6,-2.2095
7,-6.7217
8,-1.6812
9,-3.8344
10,-3.0024
11,-5.1068
12,-7.3861
13,-4.1206
14,-4.4288
15,-4.4869
16,-7.8043
17,-7.7648
18,-3.9488